No. 1
This record from the Alexandria database describes a relaxed ZnPbSCl2 crystal. The functional is PBE-GGA.

POSCAR file:
```
ZnPbSCl2
1.0
-3.5504 -0.6468 3.8842
3.4297 -3.0773 2.6226
1.9648 4.3358 2.5181
Zn Pb S Cl
1 1 1 2
direct
0.5000 0.5000 0.5000
0.0000 0.0000 0.0000
0.0000 0.0000 0.5000
0.0000 0.5000 0.0000
0.5000 0.0000 0.0000
```

Properties
Its formation energy without anion corrections is -6.6 kJ/mol of atoms. Its crystal system is tetragonal. Its relative energy among the computed polymorphs is 2.790 eV per formula unit. As for the space group: P4/mmm (123).


No. 2
This record from the Alexandria database describes a relaxed ZnPbS2Cl crystal. The functional is PBE-GGA.

POSCAR file:
```
ZnPbS2Cl
1.0
4.9030 0.0000 0.0000
0.0000 4.9030 0.0000
0.0000 0.0000 5.1958
Pb S Cl Zn
1 2 1 1
direct
0.5000 0.5000 0.5000
0.5000 0.0000 0.0000
0.0000 0.5000 0.0000
0.0000 0.0000 0.5000
0.0000 0.0000 0.0000
```

Properties
Its formation energy without anion corrections is -25.1 kJ/mol of atoms. Its crystal system is tetragonal. Its relative energy among the computed polymorphs is 0.000 eV per formula unit. As for the space group: P4/mmm (123).


No. 3
This record from the Alexandria database describes a relaxed SbPbCl crystal. The functional is PBE-GGA.

POSCAR file:
```
SbPbCl
1.0
-3.6784 0.9294 -3.6066
1.8484 -4.8524 0.6633
-2.4201 -0.6058 2.3121
Sb Pb Cl
1 1 1
direct
0.3333 0.6667 0.6362
0.6667 0.3333 0.3522
0.0000 0.0000 0.0116
```

Properties
Its formation energy without anion corrections is -14.2 kJ/mol of atoms. Its crystal system is trigonal. Its relative energy among the computed polymorphs is 0.364 eV per formula unit. As for the space group: P3m1 (156).


No. 4
This record from the Alexandria database describes a relaxed SbPb2Cl8 crystal. The functional is PBE-GGA.

POSCAR file:
```
SbPb2Cl8
1.0
-3.6491 1.3441 -5.3199
3.2135 -3.6483 -6.1939
-4.4772 -6.2807 -1.5838
Cl Sb Pb
8 1 2
direct
0.1828 0.5773 0.5773
0.2335 0.1165 0.1165
0.2566 0.6768 0.0515
0.7434 0.3232 0.9485
0.7434 0.9485 0.3232
0.2566 0.0515 0.6768
0.7665 0.8835 0.8835
0.8172 0.4227 0.4227
0.0000 0.0000 0.0000
0.7401 0.6558 0.6558
0.2599 0.3442 0.3442
```

Properties
Its formation energy without anion corrections is -88.5 kJ/mol of atoms. Its crystal system is monoclinic. Its relative energy among the computed polymorphs is 0.000 eV per formula unit. As for the space group: C2/m (12).


No. 5
This record from the Alexandria database describes a relaxed Sb2Pb3Cl crystal. The functional is PBE-GGA.

POSCAR file:
```
Sb2Pb3Cl
1.0
4.4705 0.0000 0.0000
0.0000 7.6200 -1.7893
0.0000 -0.2033 11.7590
Pb Cl Sb
6 2 4
direct
0.2500 0.3583 0.3495
0.7500 0.8616 0.3393
0.2500 0.2239 0.9963
0.7500 0.6417 0.6505
0.7500 0.7761 0.0037
0.2500 0.1384 0.6607
0.7500 0.4763 0.1627
0.2500 0.5237 0.8373
0.2500 0.7534 0.5026
0.2500 0.9782 0.1700
0.7500 0.2466 0.4974
0.7500 0.0218 0.8300
```

Properties
Its formation energy without anion corrections is -22.1 kJ/mol of atoms. Its crystal system is monoclinic. As for the space group: P2_1/m (11).


No. 6
This record from the Alexandria database describes a relaxed SbPb3Cl crystal. The functional is PBE-GGA.

POSCAR file:
```
SbPb3Cl
1.0
5.5903 0.0000 0.0000
0.0000 5.5903 0.0000
0.0000 0.0000 5.5903
Pb Cl Sb
3 1 1
direct
0.5000 0.0000 0.0000
0.0000 0.0000 0.5000
0.0000 0.5000 0.0000
0.0000 0.0000 0.0000
0.5000 0.5000 0.5000
```

Properties
Its formation energy without anion corrections is 25.2 kJ/mol of atoms. Its crystal system is cubic. Its relative energy among the computed polymorphs is 0.000 eV per formula unit. As for the space group: Pm-3m (221).


No. 7
This record from the Alexandria database describes a relaxed SbPbCl crystal. The functional is PBE-GGA.

POSCAR file:
```
SbPbCl
1.0
-2.8581 0.7481 -4.1358
0.3083 -3.2218 -3.9190
-3.8655 -3.1388 -1.0196
Pb Sb Cl
1 1 1
direct
0.0000 0.0000 0.0000
0.5000 0.5000 0.5000
0.7500 0.7500 0.7500
```

Properties
Its formation energy without anion corrections is 24.8 kJ/mol of atoms. Its crystal system is cubic. Its relative energy among the computed polymorphs is 1.579 eV per formula unit. As for the space group: F-43m (216).


No. 8
This record from the Alexandria database describes a relaxed SbPb3Cl crystal. The functional is PBE-GGA.

POSCAR file:
```
SbPb3Cl
1.0
-2.4825 -5.4608 -0.3061
5.3867 -2.4994 0.9017
-0.9472 0.0981 5.9304
Pb Cl Sb
3 1 1
direct
0.0000 0.0000 0.5000
0.0000 0.5000 0.0000
0.5000 0.0000 0.0000
0.5000 0.5000 0.5000
0.0000 0.0000 0.0000
```

Properties
Its formation energy without anion corrections is 31.5 kJ/mol of atoms. Its crystal system is cubic. Its relative energy among the computed polymorphs is 0.326 eV per formula unit. As for the space group: Pm-3m (221).


No. 9
This record from the Alexandria database describes a relaxed Sb2Pb4Cl3 crystal. The functional is PBE-GGA.

POSCAR file:
```
Sb2Pb4Cl3
1.0
4.4713 0.0019 0.0075
-2.2341 3.8731 -0.0075
0.0100 -0.0058 17.5689
Pb Sb Cl
4 2 3
direct
0.6658 0.3342 0.1160
0.3342 0.6658 0.8840
0.9970 0.0030 0.3265
0.0030 0.9970 0.6735
0.6683 0.3317 0.7880
0.3317 0.6683 0.2120
0.3363 0.6637 0.5921
0.0000 0.0000 0.0000
0.6637 0.3363 0.4079
```

Properties
Its formation energy without anion corrections is -47.6 kJ/mol of atoms. Its crystal system is monoclinic. As for the space group: C2/m (12).


No. 10
This record from the Alexandria database describes a relaxed Sb2Pb4Cl crystal. The functional is PBE-GGA.

POSCAR file:
```
Sb2Pb4Cl
1.0
7.8443 0.0000 -2.7291
-3.9444 6.7564 -2.7881
0.0445 0.0000 8.3053
Sb Pb Cl
4 8 2
direct
0.2596 0.6346 0.1250
0.4904 0.3654 0.6250
0.8750 0.1346 0.5096
0.3750 0.8654 0.7404
0.6167 0.7454 0.5266
0.2766 0.2454 0.8667
0.7811 0.2546 0.8713
0.1333 0.4099 0.3787
0.6213 0.7546 0.0311
0.1287 0.9099 0.3833
0.9689 0.5901 0.7234
0.4734 0.0901 0.2189
0.0000 0.0000 0.0000
0.7500 0.5000 0.2500
```

Properties
Its formation energy without anion corrections is -17.2 kJ/mol of atoms. Its crystal system is tetragonal. Its relative energy among the computed polymorphs is 0.000 eV per formula unit. As for the space group: I-42d (122).


No. 11
This record from the Alexandria database describes a relaxed SbPbCl crystal. The functional is PBE-GGA.

POSCAR file:
```
SbPbCl
1.0
-4.1264 -3.8027 -0.0465
-0.1998 -2.8337 4.8394
-0.4748 5.0775 -2.3415
Cl Sb Pb
1 1 1
direct
0.9886 0.9886 0.0000
0.6967 0.6967 0.0000
0.3147 0.3147 0.0000
```

Properties
Its formation energy without anion corrections is -20.0 kJ/mol of atoms. Its crystal system is orthorhombic. Its relative energy among the computed polymorphs is 0.186 eV per formula unit. As for the space group: Imm2 (44).


No. 12
This record from the Alexandria database describes a relaxed SbPbCl crystal. The functional is PBE-GGA.

POSCAR file:
```
SbPbCl
1.0
-4.8988 1.5277 -0.2349
-2.7352 0.5292 4.3158
-1.3117 4.6840 1.6514
Pb Cl Sb
1 1 1
direct
0.7500 0.7500 0.7500
0.5000 0.5000 0.5000
0.0000 0.0000 0.0000
```

Properties
Its formation energy without anion corrections is -13.5 kJ/mol of atoms. Its crystal system is cubic. Its relative energy among the computed polymorphs is 0.386 eV per formula unit. As for the space group: F-43m (216).


No. 13
This record from the Alexandria database describes a relaxed Sb2Pb4Cl crystal. The functional is PBE-GGA.

POSCAR file:
```
Sb2Pb4Cl
1.0
-3.1165 4.0334 2.0320
-4.1974 -3.4980 0.5058
-1.1167 -1.6630 8.9973
Sb Pb Cl
2 4 1
direct
0.6192 0.6192 0.7616
0.3808 0.3808 0.2384
0.5000 0.0000 0.0000
0.0000 0.5000 0.0000
0.2031 0.2031 0.5938
0.7969 0.7969 0.4062
0.0000 0.0000 0.0000
```

Properties
Its formation energy without anion corrections is 7.3 kJ/mol of atoms. Its crystal system is tetragonal. Its relative energy among the computed polymorphs is 1.773 eV per formula unit. As for the space group: I4/mmm (139).


Going through the records in order, we get N(E_F) values of 3.3 2.3 3.0 4.3 5.3 3.3 3.4 3.9 3.2 7.1 1.2 1.8 4.1 states/eV/cell.